1.
Er6SiSb3 | Alexandria | PBE | relaxed; formation energy from raw total energies = -0.733 eV per atom
1.0
6.972 0.000 0.000
0.000 8.129 0.000
-6.884 0.000 10.014
Er Si Sb
12 2 6
Direct
0.054 0.064 0.241
0.054 0.436 0.741
0.200 0.688 0.060
0.200 0.812 0.560
0.397 0.166 0.058
0.397 0.334 0.558
0.603 0.666 0.442
0.603 0.834 0.942
0.800 0.188 0.440
0.800 0.312 0.940
0.946 0.564 0.259
0.946 0.936 0.759
0.000 0.000 0.000
0.000 0.500 0.500
0.310 0.121 0.747
0.310 0.379 0.247
0.500 0.000 0.500
0.500 0.500 0.000
0.690 0.621 0.753
0.690 0.879 0.253

=====

2.
P2PtPb | Alexandria | PBE | relaxed; formation energy from the elements = 0.2602 eV/atom
1.0
-1.635 2.900 4.311
1.635 -2.900 4.311
1.635 2.900 -4.311
P Pt Pb
2 1 1
Direct
0.000 0.000 0.000
0.822 0.322 0.500
0.195 0.695 0.500
0.498 0.498 0.000

=====

3.
Y2TcIr | Alexandria | PBE | relaxed; formation energy from the elements = -0.0147 eV/atom
1.0
3.147 0.000 0.000
0.000 3.147 0.000
0.000 0.000 8.844
Y Tc Ir
2 1 1
Direct
0.000 0.000 0.000
0.500 0.500 0.366
0.500 0.500 0.764
0.000 0.000 0.600